# Ba3SbF (meta-GGA SCAN, single point on PBEsol structure)
data_Ba3SbF
_chemical_formula_sum 'Ba3 Sb1 F1'
_space_group_name_H-M_alt 'P m -3 m'
_space_group_IT_number 221
_space_group_name_Hall '-P 4 2 3'
_cell_length_a 5.376
_cell_length_b 5.376
_cell_length_c 5.376
_cell_angle_alpha 90.00
_cell_angle_beta 90.00
_cell_angle_gamma 90.00
loop_
_atom_site_label
_atom_site_fract_x
_atom_site_fract_y
_atom_site_fract_z
Ba1 0.000 0.000 0.500
Sb1 0.500 0.500 0.500
F1 0.000 0.000 0.000
# D(E_F) = 3.87 states/eV per cell
# Magnetization = 0.000 μB per cell
# Raw formation energy = -1571 meV/atom